VASP calculation (PBE) on a relaxed structure of Ce3ThAu2.

Lattice parameters (Å, degrees): 3.6081 3.6081 12.2013 90.00 90.00 90.00
Atoms (fractional coordinates):
Ce 0.0000 0.0000 0.0000
Ce 0.0000 0.0000 0.3118
Ce 0.0000 0.0000 0.6882
Th 0.5000 0.5000 0.5000
Au 0.5000 0.5000 0.1629
Au 0.5000 0.5000 0.8371

## Properties
E_form in kJ/mol of atoms: -38.9
Offset from the most stable computed form in eV/f.u.: 0.00
Total magnetization in μB per formula unit: 1.133



VASP calculation (PBE) on a relaxed structure of CaTbSm4.

Lattice parameters (Å, degrees): 3.6224 5.1726 11.0215 90.00 90.02 90.00
Atoms (fractional coordinates):
Ca 0.0000 0.0000 0.0000
Tb 0.5000 0.5000 0.5000
Sm 0.0010 0.0000 0.6604
Sm 0.4984 0.5000 0.1807
Sm 0.5016 0.5000 0.8193
Sm 0.9990 0.0000 0.3396

## Properties
E_form in kJ/mol of atoms: 5.1
Offset from the most stable computed form in eV/f.u.: 0.00
Total magnetization in μB per formula unit: 0.000



Please write out number 1 again, unchanged.
VASP calculation (PBE) on a relaxed structure of Ce3ThAu2.

Lattice parameters (Å, degrees): 3.6081 3.6081 12.2013 90.00 90.00 90.00
Atoms (fractional coordinates):
Ce 0.0000 0.0000 0.0000
Ce 0.0000 0.0000 0.3118
Ce 0.0000 0.0000 0.6882
Th 0.5000 0.5000 0.5000
Au 0.5000 0.5000 0.1629
Au 0.5000 0.5000 0.8371

## Properties
E_form in kJ/mol of atoms: -38.9
Offset from the most stable computed form in eV/f.u.: 0.00
Total magnetization in μB per formula unit: 1.133